Model P:
Computed, not measured: a geometry-optimized TbEuBi structure at the PBE level of DFT.

crystal system = trigonal
DOS(E_F) = 2.8 states/eV/f.u.
spin magnetization = 7.4 Bohr magnetons per cell
calculated volume = 34.73 Å³/atom

Lattice parameters (Å, degrees): 4.3374 5.2668 5.2668 120.00 90.00 90.00
Closest atoms and distances in Å follow each position.
Atoms (fractional coordinates):
Eu  0.6885  0.6667  0.3333  3 Bi 3.53, 6 Tb 3.68-3.79
Tb  0.2087  0.3333  0.6667  3 Bi 3.08
Bi  0.1028  0.0000  0.0000  3 Tb 3.08


Model Q:
Computed, not measured: a geometry-optimized TbEuBi structure at the PBE level of DFT.

crystal system = tetragonal
DOS(E_F) = 5.6 states/eV/f.u.
spin magnetization = 8.9 Bohr magnetons per cell
calculated volume = 32.05 Å³/atom

Lattice parameters (Å, degrees): 4.1780 4.1780 6.2507 109.52 109.52 90.00
Closest atoms and distances in Å follow each position.
Atoms (fractional coordinates):
Eu  0.9417  0.9417  0.8834  5 Tb 3.35-3.66, 5 Bi 3.50-3.63
Tb  0.6372  0.6372  0.2745  4 Bi 3.30, 5 Eu 3.35-3.66
Bi  0.2711  0.2711  0.5421  4 Tb 3.30, 5 Eu 3.50-3.63


Tell me which of them is the least stable. Sure, it is model P.


Model P:
Computed, not measured: a geometry-optimized Eu2BiTe structure at the PBE level of DFT.

crystal system = tetragonal
DOS(E_F) = 15.7 states/eV/f.u.
spin magnetization = 14.0 Bohr magnetons per cell
calculated volume = 32.36 Å³/atom

Lattice parameters (Å, degrees): 3.9333 3.9333 8.3678 90.00 90.00 90.00
Closest atoms and distances in Å follow each position.
Atoms (fractional coordinates):
Eu  0.0000  0.0000  0.7635  4 Te 3.41, 4 Bi 3.55
Eu  0.0000  0.0000  0.2365  4 Te 3.41, 4 Bi 3.55
Te  0.5000  0.5000  0.0000  8 Eu 3.41
Bi  0.5000  0.5000  0.5000  8 Eu 3.55, 4 Bi 3.93


Model Q:
Computed, not measured: a geometry-optimized Eu2BiTe structure at the PBE level of DFT.

crystal system = trigonal
DOS(E_F) = 22.8 states/eV/f.u.
spin magnetization = 13.5 Bohr magnetons per cell
calculated volume = 35.66 Å³/atom

Lattice parameters (Å, degrees): 4.5677 4.5677 8.3232 74.07 74.07 60.00
Closest atoms and distances in Å follow each position.
Atoms (fractional coordinates):
Eu  0.2482  0.2482  0.2553  3 Te 3.27, 3 Bi 3.32
Eu  0.7518  0.7518  0.7447  3 Te 3.27, 3 Bi 3.32
Te  0.5000  0.5000  0.5000  6 Eu 3.27
Bi  0.0000  0.0000  0.0000  6 Eu 3.32


Tell me which of them is the least stable. Sure, it is model P.


Model P:
Computed, not measured: a geometry-optimized EuThBi2 structure at the PBE level of DFT.

crystal system = tetragonal
DOS(E_F) = 3.8 states/eV/f.u.
spin magnetization = 6.9 Bohr magnetons per cell
calculated volume = 32.16 Å³/atom

Lattice parameters (Å, degrees): 3.9347 3.9347 8.3092 90.00 90.00 90.00
Closest atoms and distances in Å follow each position.
Atoms (fractional coordinates):
Eu  0.5000  0.5000  0.5000  8 Bi 3.52, 4 Eu 3.93
Bi  0.0000  0.0000  0.7591  4 Th 3.43, 4 Eu 3.52
Bi  0.0000  0.0000  0.2409  4 Th 3.43, 4 Eu 3.52
Th  0.5000  0.5000  0.0000  8 Bi 3.43


Model Q:
Computed, not measured: a geometry-optimized EuThBi2 structure at the PBE level of DFT.

crystal system = trigonal
DOS(E_F) = 13.8 states/eV/f.u.
spin magnetization = 6.9 Bohr magnetons per cell
calculated volume = 35.79 Å³/atom

Lattice parameters (Å, degrees): 4.6533 4.6533 8.0937 73.29 73.29 60.00
Closest atoms and distances in Å follow each position.
Atoms (fractional coordinates):
Eu  0.5000  0.5000  0.5000  6 Bi 3.33
Bi  0.2529  0.2529  0.2414  3 Th 3.26, 3 Eu 3.33
Bi  0.7471  0.7471  0.7586  3 Th 3.26, 3 Eu 3.33
Th  0.0000  0.0000  0.0000  6 Bi 3.26


Tell me which of them is the least stable. Sure, it is model P.


Model P:
Computed, not measured: a geometry-optimized EuTiBi2 structure at the PBE level of DFT.

crystal system = tetragonal
DOS(E_F) = 4.8 states/eV/f.u.
spin magnetization = 8.3 Bohr magnetons per cell
calculated volume = 27.16 Å³/atom

Lattice parameters (Å, degrees): 3.6221 3.6221 8.2803 90.00 90.00 90.00
Closest atoms and distances in Å follow each position.
Atoms (fractional coordinates):
Eu  0.5000  0.5000  0.5000  8 Bi 3.50, 4 Eu 3.62
Bi  0.0000  0.0000  0.7883  4 Ti 3.10
Bi  0.0000  0.0000  0.2117  4 Ti 3.10
Ti  0.5000  0.5000  0.0000  8 Bi 3.10


Model Q:
Computed, not measured: a geometry-optimized EuTiBi2 structure at the PBE level of DFT.

crystal system = trigonal
DOS(E_F) = 4.7 states/eV/f.u.
spin magnetization = 7.9 Bohr magnetons per cell
calculated volume = 31.94 Å³/atom

Lattice parameters (Å, degrees): 3.7418 3.7418 10.7570 79.98 79.98 60.00
Closest atoms and distances in Å follow each position.
Atoms (fractional coordinates):
Eu  0.0000  0.0000  0.0000  2 Bi 3.30
Bi  0.1045  0.1045  0.6865  3 Ti 2.92
Bi  0.8955  0.8955  0.3135  3 Ti 2.92
Ti  0.5000  0.5000  0.5000  6 Bi 2.92


Tell me which of them is the least stable. Sure, it is model Q.